The following is a DFT calculation (PBE-GGA) of BiSeBr2F after structural relaxation.

Summary:
raw formation energy: -0.27 eV/f.u.
total DFT energy (no corrections): -2.5703 eV per atom
space-group type: P4/mmm, No. 123

Lattice parameters (Å, degrees): 5.610 5.610 5.907 90.00 90.00 90.00
Each line ends with the local moment (μB).
Positions (direct):
Se 0.000 0.000 0.500  0.83
Bi 0.000 0.000 0.000  -0.04
Br 0.000 0.500 0.000  0.05
Br 0.500 0.000 0.000  0.05
F 0.500 0.500 0.500  0.47